[1]
Sr2GdMg | GGA-PBE | optimized geometry

a = 3.9162 Å, b = 3.9162 Å, c = 10.2856 Å
α = 90.00°, β = 90.00°, γ = 90.00°
Space group P4/mmm (No. 123)
Inequivalent atoms, fractional coordinates:
Sr  0.0000  0.0000  0.2267 [2 per cell]
Gd  0.5000  0.5000  0.5000 [1 per cell]
Mg  0.5000  0.5000  0.0000 [1 per cell]

Properties
The magnetization comes out at 8.2 μB per formula unit. The calculation puts the formation energy at 10 kJ per mole of atoms. The distance to the lowest polymorph of the same formula comes out at 0 meV/atom. The uncorrected energy is -18.63 eV/cell. Its crystal system is tetragonal.

[2]
SrGdMg2 | GGA-PBE | optimized geometry

a = 3.9702 Å, b = 3.9702 Å, c = 8.0953 Å
α = 90.00°, β = 90.00°, γ = 90.00°
Space group P4/mmm (No. 123)
Inequivalent atoms, fractional coordinates:
Sr  0.0000  0.0000  0.0000 [1 per cell]
Gd  0.0000  0.0000  0.5000 [1 per cell]
Mg  0.5000  0.5000  0.2805 [2 per cell]

Properties
The magnetization comes out at 7.6 μB per formula unit. The calculation puts the formation energy at -6 kJ per mole of atoms. The uncorrected energy is -19.21 eV/cell. Its crystal system is tetragonal.

[3]
SrGdMgTl | GGA-PBE | optimized geometry

a = 7.9205 Å, b = 7.9205 Å, c = 7.9205 Å
α = 90.00°, β = 90.00°, γ = 90.00°
Space group F-43m (No. 216)
Inequivalent atoms, fractional coordinates:
Sr  0.0000  0.0000  0.0000 [4 per cell]
Gd  0.0000  0.0000  0.5000 [4 per cell]
Mg  0.2500  0.2500  0.7500 [4 per cell]
Tl  0.2500  0.2500  0.2500 [4 per cell]

Properties
The magnetization comes out at 7.2 μB per formula unit. The calculation puts the formation energy at -20 kJ per mole of atoms. The uncorrected energy is -82.24 eV/cell. Its crystal system is cubic.

[4]
SrGdMgZn | GGA-PBE | optimized geometry

a = 7.7214 Å, b = 7.7214 Å, c = 7.7214 Å
α = 90.00°, β = 90.00°, γ = 90.00°
Space group F-43m (No. 216)
Inequivalent atoms, fractional coordinates:
Sr  0.0000  0.0000  0.0000 [4 per cell]
Gd  0.0000  0.0000  0.5000 [4 per cell]
Mg  0.2500  0.2500  0.2500 [4 per cell]
Zn  0.2500  0.2500  0.7500 [4 per cell]

Properties
The magnetization comes out at 7.3 μB per formula unit. The calculation puts the formation energy at -7 kJ per mole of atoms. The uncorrected energy is -75.71 eV/cell. Its crystal system is cubic.

[5]
GdMg2Ta | GGA-PBE | optimized geometry

a = 3.0317 Å, b = 3.0317 Å, c = 34.9370 Å
α = 90.00°, β = 90.00°, γ = 120.00°
Space group R-3m (No. 166, hexagonal axes)
Inequivalent atoms, fractional coordinates:
Gd  0.0000  0.0000  0.0000 [3 per cell]
Mg  0.0000  0.0000  0.4173 [6 per cell]
Ta  0.0000  0.0000  0.5000 [3 per cell]

Properties
The magnetization comes out at 7.3 μB per formula unit. The calculation puts the formation energy at 51 kJ per mole of atoms. The uncorrected energy is -81.06 eV/cell. Its crystal system is trigonal.

[6]
Tb2GdMg | GGA-PBE | optimized geometry

a = 3.6251 Å, b = 3.6251 Å, c = 9.1109 Å
α = 90.00°, β = 90.00°, γ = 90.00°
Space group P4/mmm (No. 123)
Inequivalent atoms, fractional coordinates:
Tb  0.0000  0.0000  0.2312 [2 per cell]
Gd  0.5000  0.5000  0.5000 [1 per cell]
Mg  0.5000  0.5000  0.0000 [1 per cell]

Properties
The magnetization comes out at 7.2 μB per formula unit. The calculation puts the formation energy at -2 kJ per mole of atoms. The distance to the lowest polymorph of the same formula comes out at 0 meV/atom. The uncorrected energy is -25.03 eV/cell. Its crystal system is tetragonal.

[7]
Tb2GdMg | GGA-PBE | optimized geometry

a = 5.5444 Å, b = 5.5444 Å, c = 3.8744 Å
α = 90.00°, β = 90.00°, γ = 90.00°
Space group P4/mmm (No. 123)
Inequivalent atoms, fractional coordinates:
Tb  0.0000  0.5000  0.0000 [2 per cell]
Gd  0.0000  0.0000  0.5000 [1 per cell]
Mg  0.5000  0.5000  0.5000 [1 per cell]

Properties
The magnetization comes out at 7.1 μB per formula unit. The calculation puts the formation energy at 4 kJ per mole of atoms. The distance to the lowest polymorph of the same formula comes out at 64 meV/atom. The uncorrected energy is -24.78 eV/cell. Its crystal system is tetragonal.

[8]
Tb2GdMg | GGA-PBE | optimized geometry

a = 3.4463 Å, b = 3.4463 Å, c = 36.8899 Å
α = 90.00°, β = 90.00°, γ = 120.00°
Space group R-3m (No. 166, hexagonal axes)
Inequivalent atoms, fractional coordinates:
Tb  0.0000  0.0000  0.0889 [6 per cell]
Gd  0.0000  0.0000  0.5000 [3 per cell]
Mg  0.0000  0.0000  0.0000 [3 per cell]

Properties
The magnetization comes out at 7.1 μB per formula unit. The calculation puts the formation energy at 19 kJ per mole of atoms. The distance to the lowest polymorph of the same formula comes out at 225 meV/atom. The uncorrected energy is -72.40 eV/cell. Its crystal system is trigonal.

[9]
Tb2GdMg | GGA-PBE | optimized geometry

a = 7.8035 Å, b = 7.8035 Å, c = 7.8035 Å
α = 90.00°, β = 90.00°, γ = 90.00°
Space group Fm-3m (No. 225)
Inequivalent atoms, fractional coordinates:
Tb  0.2500  0.2500  0.2500 [8 per cell]
Gd  0.0000  0.0000  0.0000 [4 per cell]
Mg  0.0000  0.0000  0.5000 [4 per cell]

Properties
The magnetization comes out at 7.6 μB per formula unit. The calculation puts the formation energy at 5 kJ per mole of atoms. The distance to the lowest polymorph of the same formula comes out at 76 meV/atom. The uncorrected energy is -98.92 eV/cell. Its crystal system is cubic.

[10]
TbGdMg | GGA-PBE | optimized geometry

a = 3.6900 Å, b = 3.6900 Å, c = 12.9344 Å
α = 90.00°, β = 90.00°, γ = 90.00°
Space group I4mm (No. 107)
Inequivalent atoms, fractional coordinates:
Tb  0.0000  0.0000  0.0000 [2 per cell]
Gd  0.0000  0.0000  0.3186 [2 per cell]
Mg  0.0000  0.0000  0.6574 [2 per cell]

Properties
The magnetization comes out at 7.7 μB per formula unit. The calculation puts the formation energy at -5 kJ per mole of atoms. The distance to the lowest polymorph of the same formula comes out at 0 meV/atom. The uncorrected energy is -40.93 eV/cell. Its crystal system is tetragonal.

[11]
TbGdMg | GGA-PBE | optimized geometry

a = 5.4633 Å, b = 5.4633 Å, c = 3.3887 Å
α = 90.00°, β = 90.00°, γ = 120.00°
Space group P3m1 (No. 156)
Inequivalent atoms, fractional coordinates:
Tb  0.0000  0.0000  0.0000 [1 per cell]
Gd  0.3333  0.6667  0.5818 [1 per cell]
Mg  0.6667  0.3333  0.2902 [1 per cell]

Properties
The magnetization comes out at 7.4 μB per formula unit. The calculation puts the formation energy at 3 kJ per mole of atoms. The distance to the lowest polymorph of the same formula comes out at 88 meV/atom. The uncorrected energy is -20.20 eV/cell. Its crystal system is trigonal.

[12]
TbGdThMg | GGA-PBE | optimized geometry

a = 7.8627 Å, b = 7.8627 Å, c = 7.8627 Å
α = 90.00°, β = 90.00°, γ = 90.00°
Space group F-43m (No. 216)
Inequivalent atoms, fractional coordinates:
Tb  0.0000  0.0000  0.0000 [4 per cell]
Gd  0.0000  0.0000  0.5000 [4 per cell]
Th  0.2500  0.2500  0.7500 [4 per cell]
Mg  0.2500  0.2500  0.2500 [4 per cell]

Properties
The magnetization comes out at 8.6 μB per formula unit. The calculation puts the formation energy at 15 kJ per mole of atoms. The uncorrected energy is -108.45 eV/cell. Its crystal system is cubic.

[13]
TbGdMgTl | GGA-PBE | optimized geometry

a = 7.6020 Å, b = 7.6020 Å, c = 7.6020 Å
α = 90.00°, β = 90.00°, γ = 90.00°
Space group F-43m (No. 216)
Inequivalent atoms, fractional coordinates:
Tb  0.0000  0.0000  0.0000 [4 per cell]
Gd  0.0000  0.0000  0.5000 [4 per cell]
Mg  0.2500  0.2500  0.2500 [4 per cell]
Tl  0.2500  0.2500  0.7500 [4 per cell]

Properties
The magnetization comes out at 7.8 μB per formula unit. The calculation puts the formation energy at -24 kJ per mole of atoms. The uncorrected energy is -94.68 eV/cell. Its crystal system is cubic.

[14]
TbGdTmMg | GGA-PBE | optimized geometry

a = 7.7636 Å, b = 7.7636 Å, c = 7.7636 Å
α = 90.00°, β = 90.00°, γ = 90.00°
Space group F-43m (No. 216)
Inequivalent atoms, fractional coordinates:
Tb  0.0000  0.0000  0.0000 [4 per cell]
Gd  0.0000  0.0000  0.5000 [4 per cell]
Tm  0.2500  0.2500  0.2500 [4 per cell]
Mg  0.2500  0.2500  0.7500 [4 per cell]

Properties
The magnetization comes out at 7.4 μB per formula unit. The calculation puts the formation energy at 2 kJ per mole of atoms. The uncorrected energy is -98.71 eV/cell. Its crystal system is cubic.

[15]
TbGdYMg | GGA-PBE | optimized geometry

a = 7.8174 Å, b = 7.8174 Å, c = 7.8174 Å
α = 90.00°, β = 90.00°, γ = 90.00°
Space group F-43m (No. 216)
Inequivalent atoms, fractional coordinates:
Tb  0.0000  0.0000  0.0000 [4 per cell]
Gd  0.2500  0.2500  0.7500 [4 per cell]
Y  0.2500  0.2500  0.2500 [4 per cell]
Mg  0.0000  0.0000  0.5000 [4 per cell]

Properties
The magnetization comes out at 7.7 μB per formula unit. The calculation puts the formation energy at 4 kJ per mole of atoms. The uncorrected energy is -106.35 eV/cell. Its crystal system is cubic.